## NbGa3Ni (PBE)

Data for NbGa3Ni after structural relaxation.

Lattice parameters (Å, degrees): 4.4349 4.4349 4.4349 90.00 90.00 90.00
With the nearest neighbours (Å) after each atom.
Space group Pm-3m (No. 221)
Symmetry-distinct sites (fractional):
Nb  0.0000  0.0000  0.0000 (multiplicity 1)  12 Ga 3.14
Ga  0.0000  0.5000  0.5000 (multiplicity 3)  2 Ni 2.22
Ni  0.5000  0.5000  0.5000 (multiplicity 1)  6 Ga 2.22

* DOS at the Fermi energy: 0.706 states/eV/atom
* electronic total energy: -4.64 eV per atom